Entry 1:
Here is a relaxed structure of Pa2TeO2 from the Alexandria database. Energies are from PBE-GGA.

Cell lengths 6.645, 10.215, 11.646 Å; angles 90.00, 90.00, 90.00 degrees
Space group Fddd (No. 70, origin choice 2)
Symmetry-distinct sites (fractional):
1 Pa 0.125 0.311 0.125
2 Te 0.125 0.125 0.625
3 O 0.125 0.125 0.009

Computed properties:
The value obtained for the density of states at the Fermi level is 1.339 states/eV per atom. The size of the total moment is 0.662 μB/atom. The calculation puts the total DFT energy (no corrections) at -8.68 eV/atom.

=====

Entry 2:
Here is a relaxed structure of Pa4Te5O2 from the Alexandria database. Energies are from PBE-GGA.

Cell lengths 20.429, 4.101, 8.877 Å; angles 90.00, 100.38, 90.00 degrees
Space group C2/m (No. 12)
Symmetry-distinct sites (fractional):
1 Pa 0.045 0.000 0.274
2 Pa 0.175 0.500 0.503
3 Te 0.000 0.500 0.000
4 Te 0.100 0.000 0.672
5 Te 0.196 0.000 0.245
6 O 0.073 0.500 0.358

Computed properties:
The value obtained for the density of states at the Fermi level is 1.334 states/eV per atom. The size of the total moment is 0.494 μB/atom. The calculation puts the total DFT energy (no corrections) at -7.26 eV/atom.

=====

Entry 3:
Here is a relaxed structure of Pa2Te3O from the Alexandria database. Energies are from PBE-GGA.

Cell lengths 8.852, 10.382, 6.601 Å; angles 90.00, 90.00, 90.00 degrees
Space group Cmcm (No. 63)
Symmetry-distinct sites (fractional):
1 Pa 0.204 0.000 0.000
2 Te 0.000 0.419 0.250
3 Te 0.176 0.265 0.750
4 O 0.000 0.013 0.250

Computed properties:
The value obtained for the density of states at the Fermi level is 1.056 states/eV per atom. The size of the total moment is 0.183 μB/atom. The calculation puts the total DFT energy (no corrections) at -6.75 eV/atom.

=====

Entry 4:
Here is a relaxed structure of Pa2Te2O from the Alexandria database. Energies are from PBE-GGA.

Cell lengths 3.753, 11.408, 11.615 Å; angles 90.00, 90.00, 90.00 degrees
Space group Cmc2_1 (No. 36)
Symmetry-distinct sites (fractional):
1 Pa 0.000 0.064 0.000
2 Pa 0.000 0.208 0.223
3 Te 0.000 0.075 0.735
4 Te 0.000 0.342 0.942
5 O 0.000 0.364 0.605

Computed properties:
The value obtained for the density of states at the Fermi level is 1.328 states/eV per atom. The size of the total moment is 0.665 μB/atom. The calculation puts the total DFT energy (no corrections) at -7.47 eV/atom.